Computed, not measured: LiY2Cd after structural relaxation at the PBE level of DFT.

- calculated total energy (eV per formula unit) = -16.124
- energy above the lowest structure with this stoichiometry (eV per atom) = 0.058
- crystal system = monoclinic
- calculated volume (Å³/atom) = 25.8

Geometry as extended XYZ:
```
4
Lattice="5.9502 -1.8307 0.0000 5.9502 1.8307 0.0000 -2.3174 0.0000 4.7333" Properties=species:S:1:pos:R:3 pbc="T T T"
Li 0.0000 0.0000 0.0000
Y 5.2465 0.0000 2.5892
Y 8.5113 0.0000 1.2548
Cd 1.7949 0.0000 3.8138
```

Computed, not measured: Pm6Cd5Bi after structural relaxation at the PBE level of DFT.

- calculated total energy (eV per formula unit) = -41.704
- crystal system = orthorhombic
- calculated volume (Å³/atom) = 28.5

Geometry as extended XYZ:
```
12
Lattice="-2.7357 3.7998 8.2345 2.7357 -3.7998 8.2345 2.7357 3.7998 -8.2345" Properties=species:S:1:pos:R:3 pbc="T T T"
Pm 2.7357 1.8965 -2.7565
Pm 0.0000 1.8910 0.0000
Pm 2.7357 1.8965 2.7565
Pm 0.0000 1.9033 5.4781
Pm 0.0000 5.7086 0.0000
Pm 0.0000 1.9033 10.9910
Cd 2.7357 0.0000 0.0000
Cd 0.0000 0.0000 2.7424
Cd 2.7357 0.0000 5.3534
Cd 0.0000 3.7998 2.8811
Cd 0.0000 0.0000 13.7266
Bi 0.0000 0.0000 8.2345
```

Computed, not measured: TaGeBi2I after structural relaxation at the PBE level of DFT.

- calculated total energy (eV per formula unit) = -21.813
- crystal system = tetragonal
- calculated volume (Å³/atom) = 33.6

Geometry as extended XYZ:
```
5
Lattice="5.6140 0.0000 0.0000 0.0000 5.6140 0.0000 0.0000 0.0000 5.3298" Properties=species:S:1:pos:R:3 pbc="T T T"
Ta 0.0000 0.0000 0.0000
Ge 2.8070 2.8070 2.6649
Bi 0.0000 2.8070 0.0000
Bi 2.8070 0.0000 0.0000
I 0.0000 0.0000 2.6649
```

Computed, not measured: LaVPbS2 after structural relaxation at the PBE level of DFT.

- calculated total energy (eV per formula unit) = -23.475
- crystal system = tetragonal
- calculated volume (Å³/atom) = 30.9

Geometry as extended XYZ:
```
5
Lattice="5.4532 0.0000 0.0000 0.0000 5.4532 0.0000 0.0000 0.0000 5.1998" Properties=species:S:1:pos:R:3 pbc="T T T"
La 0.0000 0.0000 0.0000
V 0.0000 0.0000 2.5999
Pb 2.7266 2.7266 2.5999
S 0.0000 2.7266 0.0000
S 2.7266 0.0000 0.0000
```

Computed, not measured: AcZn9Ni3 after structural relaxation at the PBE level of DFT.

- calculated total energy (eV per formula unit) = -35.741
- crystal system = monoclinic
- calculated volume (Å³/atom) = 15.6

Geometry as extended XYZ:
```
13
Lattice="2.5101 -6.3773 0.0000 2.5101 6.3773 0.0000 -2.4627 0.0000 6.3483" Properties=species:S:1:pos:R:3 pbc="T T T"
Ac 0.0000 0.0000 0.0000
Zn 0.0989 4.0939 4.1634
Zn 0.0276 1.5306 4.8967
Zn 2.4585 4.0939 2.1849
Zn 2.5298 1.5306 1.4516
Zn 1.2787 0.0000 3.1742
Zn 0.0276 -1.5306 4.8967
Zn 0.0989 -4.0939 4.1634
Zn 2.5298 -1.5306 1.4516
Zn 2.4585 -4.0939 2.1849
Ni -1.2314 0.0000 3.1742
Ni 1.2550 3.1887 0.0000
Ni 1.2550 -3.1887 0.0000
```

Computed, not measured: Li3In3Hg after structural relaxation at the PBE level of DFT.

- calculated total energy (eV per formula unit) = -15.564
- crystal system = orthorhombic
- calculated volume (Å³/atom) = 21.1

Geometry as extended XYZ:
```
28
Lattice="11.8624 0.0000 0.0000 0.0000 4.4162 0.0000 0.0000 0.0000 11.2712" Properties=species:S:1:pos:R:3 pbc="T T T"
Li 0.0239 1.1041 1.1267
Li 1.0260 3.3122 5.7734
Li 2.2119 3.3122 8.1643
Li 3.7193 1.1041 2.5288
Li 4.9052 1.1041 0.1378
Li 5.9073 3.3122 6.7623
Li 5.9551 1.1041 4.5089
Li 6.9572 3.3122 11.1333
Li 8.1431 3.3122 8.7424
Li 9.6506 1.1041 3.1068
Li 10.8364 1.1041 5.4977
Li 11.8385 3.3122 10.1444
In 1.3516 1.1041 3.8425
In 2.1370 3.3122 1.2509
In 2.2492 1.1041 10.2608
In 3.6820 3.3122 4.6252
In 3.7942 1.1041 6.8865
In 4.5796 3.3122 9.4781
In 7.2828 1.1041 1.7931
In 8.0682 3.3122 4.3847
In 8.1804 1.1041 6.6459
In 9.6133 3.3122 1.0104
In 9.7254 1.1041 10.0202
In 10.5108 3.3122 7.4287
Hg 0.6912 1.1041 7.6551
Hg 5.2400 3.3122 2.0195
Hg 6.6224 1.1041 9.2516
Hg 11.1712 3.3122 3.6160
```